First-principles (GGA-PBE) data for crystalline Sr2CdIn12 at its relaxed geometry, as listed in Alexandria.

abc: 7.0445 7.0445 17.6616
angles: 90.00 90.00 90.00
Closest atoms and distances in Å follow each position.
Space group P4/nbm (No. 125, origin choice 2)
Asymmetric unit:
Sr (0.2500, 0.7500, 0.2473) (multiplicity 4)  14 In 3.65-3.94
Cd (0.2500, 0.7500, 0.0000) (multiplicity 2)  8 In 2.96-2.97
In (0.0002, 0.9998, 0.0911) (multiplicity 8)  2 Cd 2.96-2.97, 3 In 3.00-3.22
In (0.0837, 0.5837, 0.4312) (multiplicity 8)  3 In 2.95-3.02
In (0.2500, 0.2500, 0.1862) (multiplicity 4)  5 In 2.84-3.00
In (0.2500, 0.2500, 0.3472) (multiplicity 4)  5 In 2.84-3.02

Results
The total energy is -2.636 eV/atom. The density is 6.31 g/cm3.